(1)
The following is a DFT calculation (PBE) of a relaxed Ca2HfSe crystal.

abc: 9.7716 9.7716 7.3897
angles: 48.61 48.61 90.00
With the nearest neighbours (Å) after each atom.
Element x y z (fractional)
Ca1 0.5136 0.1250 0.2500  2 Se 2.87
Ca2 0.2364 0.6250 0.2500  2 Se 2.87
Ca3 0.3750 0.4864 0.7500  2 Se 2.87
Ca4 0.8750 0.7636 0.7500  2 Se 2.87
Hf1 0.0000 0.0000 0.0000  2 Se 2.62
Hf2 0.7500 0.2500 0.5000  2 Se 2.62
Se1 0.5000 0.5000 0.0000  2 Hf 2.62, 4 Ca 2.87
Se2 0.2500 0.7500 0.5000  2 Hf 2.62, 4 Ca 2.87

Uncorrected energy in eV/atom: -4.475
Volume in Å³ per cell: 250.19
DOS(E_F) in states/eV/f.u.: 5.13
Space group: No. 122
Total moment in μB per atom: 0.21


(2)
The following is a DFT calculation (PBE) of a relaxed CrAsPtSe2 crystal.

abc: 4.6005 4.6005 4.6677
angles: 90.00 90.00 90.00
With the nearest neighbours (Å) after each atom.
Element x y z (fractional)
Cr1 0.0000 0.0000 0.0000  4 Se 2.30, 2 As 2.33
As1 0.0000 0.0000 0.5000  2 Cr 2.33
Se1 0.0000 0.5000 0.0000  2 Cr 2.30
Se2 0.5000 0.0000 0.0000  2 Cr 2.30
Pt1 0.5000 0.5000 0.5000  4 As 3.25, 8 Se 3.28

Volume in Å³ per cell: 98.79
DOS(E_F) in states/eV/f.u.: 4.95
E above lowest polymorph in eV/f.u.: 0.00
Space group: No. 123
Total moment in μB per atom: 0.00


(3)
The following is a DFT calculation (PBE) of a relaxed Er2FeCo5B2 crystal.

abc: 3.0230 8.9354 8.9354
angles: 90.00 90.00 90.00
With the nearest neighbours (Å) after each atom.
Element x y z (fractional)
Er1 0.0000 0.6773 0.1773  3 B 2.58-2.69, 10 Co 2.70-2.80
Er2 0.0000 0.3227 0.8227  3 B 2.58-2.69, 10 Co 2.70-2.80
Er3 0.0000 0.1773 0.3227  3 B 2.58-2.69, 10 Co 2.70-2.80
Er4 0.0000 0.8227 0.6773  3 B 2.58-2.69, 10 Co 2.70-2.80
Fe1 0.0000 0.0000 0.0000  8 Co 2.56
Fe2 0.0000 0.5000 0.5000  8 Co 2.56
Co1 0.5000 0.2218 0.0669  2 B 2.13
Co2 0.5000 0.7782 0.9331  2 B 2.13
Co3 0.5000 0.0669 0.7782  2 B 2.13
Co4 0.5000 0.7218 0.4331  2 B 2.13
Co5 0.5000 0.9331 0.2218  2 B 2.13
Co6 0.5000 0.2782 0.5669  2 B 2.13
Co7 0.5000 0.5669 0.7218  2 B 2.13
Co8 0.5000 0.4331 0.2782  2 B 2.13
Co9 0.5000 0.5000 0.0000  4 B 2.13
Co10 0.5000 0.0000 0.5000  4 B 2.13
B1 0.0000 0.1183 0.6183  6 Co 2.13
B2 0.0000 0.8817 0.3817  6 Co 2.13
B3 0.0000 0.6183 0.8817  6 Co 2.13
B4 0.0000 0.3817 0.1183  6 Co 2.13

Formation energy from the elements in eV per atom: -0.309
Volume in Å³ per cell: 241.36
DOS(E_F) in states/eV/f.u.: 3.57
Space group: No. 127
Total moment in μB per atom: 0.52